Entry 1:
Below is an optimized crystal structure of CsThCuTe3, with properties calculated at the GGA-PBE level.

Calculated values
Energy relative to the elements, uncorrected ... -0.989 eV/atom
Total magnetization ... 0.00 Bohr magnetons per cell

a = 10.412 Å, b = 4.494 Å, c = 10.815 Å
α = 90.00°, β = 111.82°, γ = 90.00°
Positions (direct):
Cs1 0.215 0.250 0.258
Cs2 0.785 0.750 0.742
Th1 0.312 0.750 0.836
Th2 0.688 0.250 0.164
Cu1 0.095 0.250 0.613
Cu2 0.905 0.750 0.387
Te1 0.116 0.250 0.864
Te2 0.185 0.750 0.533
Te3 0.469 0.750 0.157
Te4 0.531 0.250 0.843
Te5 0.815 0.250 0.467
Te6 0.884 0.750 0.136



Entry 2:
Below is an optimized crystal structure of Cs2TiCu2Te4, with properties calculated at the GGA-PBE level.

Calculated values
Energy relative to the elements, uncorrected ... -0.632 eV/atom
Total magnetization ... 0.07 Bohr magnetons per cell

a = 8.139 Å, b = 8.139 Å, c = 8.929 Å
α = 107.19°, β = 107.19°, γ = 29.74°
Positions (direct):
Cs1 0.134 0.134 0.064
Cs2 0.866 0.866 0.936
Ti1 0.000 0.000 0.500
Cu1 0.309 0.309 0.514
Cu2 0.691 0.691 0.486
Te1 0.186 0.186 0.665
Te2 0.478 0.478 0.702
Te3 0.522 0.522 0.298
Te4 0.814 0.814 0.335



Entry 3:
Below is an optimized crystal structure of Cs2TmCu2Te4, with properties calculated at the GGA-PBE level.

Calculated values
Energy relative to the elements, uncorrected ... -0.833 eV/atom
Total magnetization ... 0.00 Bohr magnetons per cell

a = 8.337 Å, b = 8.337 Å, c = 9.116 Å
α = 106.99°, β = 106.99°, γ = 29.89°
Positions (direct):
Cs1 0.133 0.133 0.053
Cs2 0.867 0.867 0.947
Tm1 0.000 0.000 0.500
Cu1 0.316 0.316 0.514
Cu2 0.684 0.684 0.486
Te1 0.198 0.198 0.664
Te2 0.476 0.476 0.719
Te3 0.524 0.524 0.281
Te4 0.802 0.802 0.336



Entry 4:
Below is an optimized crystal structure of CsTm2CuTe4, with properties calculated at the GGA-PBE level.

Calculated values
Energy relative to the elements, uncorrected ... -1.097 eV/atom
Total magnetization ... 0.00 Bohr magnetons per cell

a = 8.069 Å, b = 8.069 Å, c = 15.486 Å
α = 90.00°, β = 90.00°, γ = 148.36°
Positions (direct):
Cs1 0.112 0.888 0.750
Cs2 0.888 0.112 0.250
Tm1 0.368 0.632 0.564
Tm2 0.368 0.632 0.936
Tm3 0.632 0.368 0.064
Tm4 0.632 0.368 0.436
Cu1 0.167 0.833 0.250
Cu2 0.833 0.167 0.750
Te1 0.000 0.000 0.000
Te2 0.000 0.000 0.500
Te3 0.259 0.741 0.106
Te4 0.259 0.741 0.394
Te5 0.425 0.575 0.750
Te6 0.575 0.425 0.250
Te7 0.741 0.259 0.606
Te8 0.741 0.259 0.894



Entry 5:
Below is an optimized crystal structure of Cs2UCuTe5, with properties calculated at the GGA-PBE level.

Calculated values
Energy relative to the elements, uncorrected ... -0.586 eV/atom
Total magnetization ... 1.21 Bohr magnetons per cell

a = 11.785 Å, b = 11.785 Å, c = 15.730 Å
α = 90.00°, β = 90.00°, γ = 158.76°
Positions (direct):
Cs1 0.121 0.879 0.500
Cs2 0.129 0.871 0.878
Cs3 0.871 0.129 0.378
Cs4 0.879 0.121 0.000
U1 0.204 0.796 0.187
U2 0.796 0.204 0.687
Cu1 0.399 0.601 0.605
Cu2 0.601 0.399 0.105
Te1 0.077 0.923 0.189
Te2 0.292 0.708 0.555
Te3 0.302 0.698 0.818
Te4 0.327 0.673 0.188
Te5 0.482 0.518 0.501
Te6 0.518 0.482 0.001
Te7 0.673 0.327 0.688
Te8 0.698 0.302 0.318
Te9 0.708 0.292 0.055
Te10 0.923 0.077 0.689



Entry 6:
Below is an optimized crystal structure of CsUCuTe4, with properties calculated at the GGA-PBE level.

Calculated values
Energy relative to the elements, uncorrected ... -0.600 eV/atom
Total magnetization ... 2.36 Bohr magnetons per cell

a = 7.527 Å, b = 6.297 Å, c = 10.666 Å
α = 90.00°, β = 106.45°, γ = 90.00°
Positions (direct):
Cs1 0.223 0.250 0.048
Cs2 0.777 0.750 0.952
U1 0.270 0.250 0.553
U2 0.730 0.750 0.447
Cu1 0.278 0.750 0.344
Cu2 0.722 0.250 0.656
Te1 0.009 0.505 0.688
Te2 0.009 0.995 0.688
Te3 0.430 0.750 0.589
Te4 0.469 0.750 0.181
Te5 0.531 0.250 0.819
Te6 0.570 0.250 0.411
Te7 0.991 0.005 0.312
Te8 0.991 0.495 0.312



Entry 7:
Below is an optimized crystal structure of Cs3U2CuTe6, with properties calculated at the GGA-PBE level.

Calculated values
Energy relative to the elements, uncorrected ... -0.694 eV/atom
Total magnetization ... 4.00 Bohr magnetons per cell

a = 7.802 Å, b = 7.802 Å, c = 9.227 Å
α = 98.14°, β = 98.14°, γ = 119.86°
Positions (direct):
Cs1 0.000 0.000 0.000
Cs2 0.333 0.667 0.000
Cs3 0.667 0.333 0.000
U1 0.167 0.833 0.500
U2 0.833 0.167 0.500
Cu1 0.500 0.500 0.500
Te1 0.113 0.439 0.318
Te2 0.232 0.232 0.683
Te3 0.439 0.113 0.318
Te4 0.561 0.887 0.682
Te5 0.768 0.768 0.317
Te6 0.887 0.561 0.682



Entry 8:
Below is an optimized crystal structure of CsU2CuTe4, with properties calculated at the GGA-PBE level.

Calculated values
Energy relative to the elements, uncorrected ... -0.618 eV/atom
Total magnetization ... 11.99 Bohr magnetons per cell

a = 8.199 Å, b = 8.199 Å, c = 15.579 Å
α = 90.00°, β = 90.00°, γ = 148.68°
Positions (direct):
Cs1 0.106 0.894 0.750
Cs2 0.894 0.106 0.250
U1 0.367 0.633 0.559
U2 0.367 0.633 0.941
U3 0.633 0.367 0.059
U4 0.633 0.367 0.441
Cu1 0.167 0.833 0.250
Cu2 0.833 0.167 0.750
Te1 0.000 0.000 0.000
Te2 0.000 0.000 0.500
Te3 0.262 0.738 0.111
Te4 0.262 0.738 0.389
Te5 0.422 0.578 0.750
Te6 0.578 0.422 0.250
Te7 0.738 0.262 0.611
Te8 0.738 0.262 0.889



> Which of these has the highest energy relative to the elements, uncorrected?

Cs2UCuTe5